{"formula": "CsRb2Pa2S7", "functional": "GGA-PBE", "state": "relaxed", "lattice": [[-2.662, 2.662, 13.707], [2.662, -2.662, 13.707], [2.662, 2.662, -13.707]], "species": ["Cs", "Rb", "Rb", "Pa", "Pa", "S", "S", "S", "S", "S", "S", "S"], "fractional_positions": [[0.000, 0.000, 0.000], [0.186, 0.186, 0.000], [0.814, 0.814, 0.000], [0.402, 0.402, 0.000], [0.598, 0.598, 0.000], [0.096, 0.596, 0.500], [0.310, 0.310, 0.000], [0.404, 0.904, 0.500], [0.500, 0.500, 0.000], [0.596, 0.096, 0.500], [0.690, 0.690, 0.000], [0.904, 0.404, 0.500]], "e_form_raw_ev_per_atom": -1.44, "magnetic_moment_mub_per_cell": 0.00}